Record 1
DFT (PBE-GGA) results for BaZn2CdF8 after structural relaxation.

Summary:
Crystal system: triclinic
Formation energy (no corrections) (eV/atom): -2.63
Volume (Å³/f.u.): 191

Unit cell a=4.4608 b=5.2973 c=8.1858 alpha=95.27 beta=90.65 gamma=97.32
With the nearest neighbours (Å) after each atom.
Space group P-1 (No. 2)
Asymmetric unit:
Ba  0.0000  0.0000  0.0000  8 F 2.63-2.76
Zn  0.4611  0.5499  0.6931  5 F 1.97-2.17
Cd  0.0000  0.0000  0.5000  6 F 2.24-2.38
F  0.1126  0.2621  0.3034  1 Zn 2.03, 1 Cd 2.24
F  0.1655  0.2535  0.7340  1 Zn 1.97
F  0.3823  0.7241  0.4889  2 Zn 2.03-2.17
F  0.4398  0.7346  0.9119  1 Zn 1.97


Record 2
DFT (PBE-GGA) results for Ba2Zn3CdF12 after structural relaxation.

Summary:
Crystal system: trigonal
Formation energy (no corrections) (eV/atom): -2.73
Volume (Å³/f.u.): 270

Unit cell a=7.3304 b=7.3304 c=17.4332 alpha=90.00 beta=90.00 gamma=120.00
With the nearest neighbours (Å) after each atom.
Space group R-3m (No. 166, hexagonal axes)
Asymmetric unit:
Ba  0.0000  0.0000  0.1135  3 F 2.60
Zn  0.0000  0.5000  0.0000  6 F 2.01-2.11
Cd  0.0000  0.0000  0.5000  6 F 2.43
F  0.0280  0.5140  0.8793  1 Zn 2.11
F  0.0524  0.5262  0.3104  2 Zn 2.01


Record 3
DFT (PBE-GGA) results for BaZnCd2F8 after structural relaxation.

Summary:
Crystal system: triclinic
Formation energy (no corrections) (eV/atom): -2.59
Volume (Å³/f.u.): 194

Unit cell a=4.8978 b=5.3881 c=7.3551 alpha=89.92 beta=89.92 gamma=88.63
With the nearest neighbours (Å) after each atom.
Space group P-1 (No. 2)
Asymmetric unit:
Ba  0.0000  0.0000  0.0000  6 F 2.59
Zn  0.0000  0.0000  0.5000  6 F 2.06-2.15
Cd  0.4998  0.4998  0.2695  6 F 2.23-2.36
F  0.1514  0.7728  0.7047  1 Zn 2.07, 1 Cd 2.23
F  0.1527  0.7739  0.2956  1 Zn 2.06, 1 Cd 2.23
F  0.3251  0.2620  0.5004  1 Zn 2.15, 2 Cd 2.30
F  0.4275  0.2733  0.0003  2 Cd 2.36, 1 F 2.56, 1 Ba 2.59


Record 4
DFT (PBE-GGA) results for BaCd2Fe after structural relaxation.

Summary:
Crystal system: orthorhombic
Formation energy from the elements (eV per atom): 0.24
Volume (Å³/f.u.): 99

Unit cell a=3.3459 b=3.5786 c=8.2515 alpha=90.00 beta=90.00 gamma=90.00
With the nearest neighbours (Å) after each atom.
Space group Pmmm (No. 47)
Asymmetric unit:
Ba  0.0000  0.0000  0.0000  4 Ba 3.35-3.58, 8 Cd 3.60
Cd  0.5000  0.5000  0.3203  4 Fe 2.86, 1 Cd 2.97
Fe  0.0000  0.0000  0.5000  8 Cd 2.86


Record 5
DFT (PBE-GGA) results for BaCdFe4 after structural relaxation.

Summary:
Crystal system: cubic
Formation energy from the elements (eV per atom): 0.48
Volume (Å³/f.u.): 105

Unit cell a=7.4962 b=7.4962 c=7.4962 alpha=90.00 beta=90.00 gamma=90.00
With the nearest neighbours (Å) after each atom.
Space group F-43m (No. 216)
Asymmetric unit:
Ba  0.0000  0.0000  0.0000  12 Fe 3.12, 4 Cd 3.25
Cd  0.2500  0.2500  0.7500  12 Fe 3.10, 4 Ba 3.25
Fe  0.1199  0.1199  0.3801  6 Fe 2.54-2.76


Record 6
DFT (PBE-GGA) results for Ba4CdFe after structural relaxation.

Summary:
Crystal system: cubic
Formation energy from the elements (eV per atom): 0.83
Volume (Å³/f.u.): 267

Unit cell a=10.2278 b=10.2278 c=10.2278 alpha=90.00 beta=90.00 gamma=90.00
With the nearest neighbours (Å) after each atom.
Space group F-43m (No. 216)
Asymmetric unit:
Ba  0.1254  0.1254  0.1254  6 Ba 3.60-3.63
Cd  0.2500  0.2500  0.7500  12 Ba 4.24, 4 Fe 4.43
Fe  0.0000  0.0000  0.5000  12 Ba 4.24, 4 Cd 4.43